BeHN2: optimized geometry, PBE.

Results
* DFT total energy: -17.44 eV for the cell shown
* space-group type: Fm-3m
* E above lowest polymorph: 3.32 eV per formula unit

Cell and atoms, written as CIF:
```
data_BeHN2
_cell_length_a 3.241
_cell_length_b 3.241
_cell_length_c 3.241
_cell_angle_alpha 60.00
_cell_angle_beta 60.00
_cell_angle_gamma 60.00
_symmetry_space_group_name_H-M 'P 1'
_symmetry_Int_Tables_number 1
_symmetry_space_group_name_Hall 'P 1'
loop_
_atom_site_label
_atom_site_type_symbol
_atom_site_fract_x
_atom_site_fract_y
_atom_site_fract_z
Be1 Be 0.000 0.000 0.000
H1 H 0.500 0.500 0.500
N1 N 0.250 0.250 0.250
N2 N 0.750 0.750 0.750
```